## one
The following is a DFT calculation (PBE) of crystalline PmHo2S4 at its relaxed geometry.

extended XYZ file:
```
28
Lattice="11.959 0.000 0.000 0.000 3.861 0.000 0.000 0.000 14.042" Properties=species:S:1:pos:R:3 pbc="T T T"
Pm 2.994 0.965 2.363
Pm 2.986 2.896 9.384
Pm 8.973 0.965 4.658
Pm 8.966 2.896 11.678
Ho 0.745 0.965 5.437
Ho 1.128 0.965 12.721
Ho 4.851 2.896 5.700
Ho 5.234 2.896 12.458
Ho 6.725 0.965 1.584
Ho 7.108 0.965 8.341
Ho 10.831 2.896 1.320
Ho 11.214 2.896 8.605
S 0.503 2.896 10.993
S 1.153 0.965 8.110
S 1.551 2.896 0.591
S 2.392 2.896 4.444
S 3.587 0.965 11.465
S 4.428 0.965 7.612
S 4.826 2.896 1.089
S 5.477 0.965 3.972
S 6.482 2.896 10.070
S 7.133 0.965 12.953
S 7.531 2.896 6.430
S 8.372 2.896 2.577
S 9.567 0.965 9.597
S 10.408 0.965 13.451
S 10.806 2.896 5.932
S 11.457 0.965 3.049
```

Results
* calculated density: 6.2 g cm⁻³
* space-group type: Pnma


## two
The following is a DFT calculation (PBE) of crystalline PmHo2S4 at its relaxed geometry.

extended XYZ file:
```
14
Lattice="1.922 -6.456 0.000 1.922 6.456 0.000 0.000 0.000 13.164" Properties=species:S:1:pos:R:3 pbc="T T T"
Pm 1.922 4.845 9.873
Pm 1.922 -4.845 3.291
Ho 1.922 1.677 7.484
Ho 1.922 1.677 12.262
Ho 1.922 -1.677 0.902
Ho 1.922 -1.677 5.680
S 0.000 0.000 0.000
S 0.000 0.000 6.582
S 1.922 2.923 1.575
S 1.922 2.923 5.007
S 1.922 0.465 9.873
S 1.922 -0.465 3.291
S 1.922 -2.923 8.157
S 1.922 -2.923 11.589
```

Results
* calculated density: 6.1 g cm⁻³
* space-group type: Cmcm


Relative energy table, unit kJ/mol of atoms: one 1.9; two 0.0


## one
The following is a DFT calculation (PBE) of crystalline Pm2HoS3 at its relaxed geometry.

extended XYZ file:
```
12
Lattice="3.936 0.000 0.000 -1.968 3.409 0.000 0.000 0.000 20.071" Properties=species:S:1:pos:R:3 pbc="T T T"
Pm 0.000 2.273 1.674
Pm 0.000 2.273 8.361
Pm 1.968 1.136 11.710
Pm 1.968 1.136 18.397
Ho 0.000 0.000 5.018
Ho 0.000 0.000 15.053
S 0.000 0.000 0.000
S 0.000 0.000 10.036
S 0.000 2.273 13.434
S 0.000 2.273 16.672
S 1.968 1.136 3.399
S 1.968 1.136 6.637
```

Results
* calculated density: 6.8 g cm⁻³
* space-group type: P6_3/mmc


## two
The following is a DFT calculation (PBE) of crystalline Pm2HoS3 at its relaxed geometry.

extended XYZ file:
```
12
Lattice="3.980 0.000 0.000 0.000 5.635 0.000 0.000 0.000 11.969" Properties=species:S:1:pos:R:3 pbc="T T T"
Pm 0.000 0.000 2.043
Pm 0.000 0.000 9.926
Pm 1.990 2.817 3.941
Pm 1.990 2.817 8.028
Ho 0.000 0.000 5.985
Ho 1.990 2.817 0.000
S 0.000 2.817 1.896
S 0.000 2.817 5.985
S 0.000 2.817 10.074
S 1.990 0.000 0.000
S 1.990 0.000 4.089
S 1.990 0.000 7.880
```

Results
* calculated density: 6.8 g cm⁻³
* space-group type: Immm


Relative energy table, unit kJ/mol of atoms: one 2.0; two 0.0


## one
The following is a DFT calculation (PBE) of crystalline Pm2Ho2Sb3 at its relaxed geometry.

extended XYZ file:
```
14
Lattice="-4.649 4.649 4.649 4.649 -4.649 4.649 4.649 4.649 -4.649" Properties=species:S:1:pos:R:3 pbc="T T T"
Pm 3.959 0.690 -0.690
Pm 0.690 0.690 0.690
Pm 0.690 -0.690 3.959
Pm -0.690 3.959 0.690
Ho 6.325 -1.676 1.676
Ho 1.676 6.325 -1.676
Ho 2.973 2.973 2.973
Ho -1.676 1.676 6.325
Sb 6.973 1.103 0.000
Sb 3.546 0.000 2.324
Sb 2.324 3.546 0.000
Sb 0.000 2.324 3.546
Sb 1.103 0.000 6.973
Sb 0.000 6.973 1.103
```

Results
* calculated density: 8.1 g cm⁻³
* space-group type: I2_13


## two
The following is a DFT calculation (PBE) of crystalline Pm2Ho2Sb3 at its relaxed geometry.

extended XYZ file:
```
7
Lattice="4.354 0.000 0.000 2.172 7.129 0.000 0.001 1.117 7.428" Properties=species:S:1:pos:R:3 pbc="T T T"
Pm 1.091 2.277 2.855
Pm 5.435 5.969 4.573
Ho 3.262 5.486 0.913
Ho 3.264 2.760 6.514
Sb 1.086 3.564 0.000
Sb 3.257 7.925 5.594
Sb 3.269 0.320 1.834
```

Results
* calculated density: 7.1 g cm⁻³
* space-group type: P-1


Relative energy table, unit kJ/mol of atoms: one 0.0; two 13.3


## one
The following is a DFT calculation (PBE) of crystalline Pm5Ho4Sc at its relaxed geometry.

extended XYZ file:
```
10
Lattice="3.591 0.000 0.000 0.000 3.591 0.000 0.000 0.000 24.758" Properties=species:S:1:pos:R:3 pbc="T T T"
Pm 0.000 0.000 0.000
Pm 0.000 0.000 5.044
Pm 0.000 0.000 10.078
Pm 0.000 0.000 14.680
Pm 0.000 0.000 19.713
Ho 1.795 1.795 2.520
Ho 1.795 1.795 7.563
Ho 1.795 1.795 17.194
Ho 1.795 1.795 22.237
Sc 1.795 1.795 12.379
```

Results
* calculated density: 7.4 g cm⁻³
* space-group type: P4/mmm


## two
The following is a DFT calculation (PBE) of crystalline Pm5Ho4Sc at its relaxed geometry.

extended XYZ file:
```
10
Lattice="8.415 -1.771 0.000 8.415 1.771 0.000 -3.631 0.000 10.821" Properties=species:S:1:pos:R:3 pbc="T T T"
Pm 0.000 0.000 0.000
Pm 1.658 0.000 9.559
Pm 3.748 0.000 4.616
Pm 9.452 0.000 6.205
Pm 11.541 0.000 1.262
Ho 0.669 0.000 3.226
Ho 6.258 0.000 2.305
Ho 6.941 0.000 8.515
Ho 12.531 0.000 7.595
Sc -1.816 0.000 5.410
```

Results
* calculated density: 7.4 g cm⁻³
* space-group type: C2/m


Relative energy table, unit kJ/mol of atoms: one 0.0; two 2.0


## one
The following is a DFT calculation (PBE) of crystalline PmHo4Sc4 at its relaxed geometry.

extended XYZ file:
```
9
Lattice="-5.139 5.139 2.407 5.139 -5.139 2.407 5.139 5.139 -2.407" Properties=species:S:1:pos:R:3 pbc="T T T"
Pm 0.000 0.000 0.000
Ho 3.387 0.000 0.000
Ho 6.891 0.000 0.000
Ho 0.000 3.387 0.000
Ho 0.000 6.891 0.000
Sc 3.414 3.414 0.000
Sc 1.725 -1.725 2.407
Sc -1.725 1.725 2.407
Sc 1.725 1.725 2.407
```

Results
* calculated density: 6.4 g cm⁻³
* space-group type: I4/mmm


## two
The following is a DFT calculation (PBE) of crystalline PmHo4Sc4 at its relaxed geometry.

extended XYZ file:
```
18
Lattice="6.762 0.000 0.000 0.000 6.762 0.000 0.000 0.000 11.779" Properties=species:S:1:pos:R:3 pbc="T T T"
Pm 1.691 5.072 2.945
Pm 5.072 1.691 8.834
Ho 0.064 1.691 0.287
Ho 1.691 0.064 6.176
Ho 1.691 3.317 6.176
Ho 3.317 1.691 0.287
Ho 3.446 5.072 11.492
Ho 5.072 3.446 5.603
Ho 5.072 6.698 5.603
Ho 6.698 5.072 11.492
Sc 0.213 1.691 3.615
Sc 1.691 0.213 9.505
Sc 1.691 3.168 9.505
Sc 3.168 1.691 3.615
Sc 3.595 5.072 8.164
Sc 5.072 3.595 2.274
Sc 5.072 6.549 2.274
Sc 6.549 5.072 8.164
```

Results
* calculated density: 6.1 g cm⁻³
* space-group type: P4_2/nmc


Relative energy table, unit kJ/mol of atoms: one 0.0; two 20.8


## one
The following is a DFT calculation (PBE) of crystalline Pm7Ho4Sc at its relaxed geometry.

extended XYZ file:
```
12
Lattice="6.236 0.000 0.000 0.010 7.214 0.000 2.097 0.004 8.656" Properties=species:S:1:pos:R:3 pbc="T T T"
Pm 0.000 0.000 0.000
Pm 2.119 0.006 2.906
Pm 3.133 1.838 5.782
Pm 5.212 5.378 8.650
Pm 3.131 1.839 0.006
Pm 5.210 5.379 2.874
Pm 6.224 7.212 5.750
Ho 2.059 3.612 2.882
Ho 3.130 5.364 5.801
Ho 5.213 1.854 2.856
Ho 6.284 3.606 5.774
Sc 0.005 3.607 0.000
```

Results
* calculated density: 7.3 g cm⁻³
* space-group type: P-1


## two
The following is a DFT calculation (PBE) of crystalline Pm7Ho4Sc at its relaxed geometry.

extended XYZ file:
```
12
Lattice="8.070 -2.948 0.000 8.070 2.948 0.000 -4.155 0.000 8.363" Properties=species:S:1:pos:R:3 pbc="T T T"
Pm 0.000 0.000 0.000
Pm 4.177 0.000 1.047
Pm 1.562 0.000 6.520
Pm 4.439 0.000 4.735
Pm 7.547 0.000 3.628
Pm 10.424 0.000 1.843
Pm 7.808 0.000 7.316
Ho -1.696 0.000 5.829
Ho 1.176 0.000 3.314
Ho 10.810 0.000 5.049
Ho 13.682 0.000 2.534
Sc 8.070 0.000 0.000
```

Results
* calculated density: 7.2 g cm⁻³
* space-group type: C2/m


Relative energy table, unit kJ/mol of atoms: one 0.0; two 19.2


## one
The following is a DFT calculation (PBE) of crystalline Pm4HoSc2 at its relaxed geometry.

extended XYZ file:
```
14
Lattice="2.796 -5.733 0.000 2.796 5.733 0.000 -0.023 0.000 13.532" Properties=species:S:1:pos:R:3 pbc="T T T"
Pm 2.781 5.626 8.266
Pm 2.776 5.626 12.032
Pm 2.784 1.832 6.838
Pm 2.773 1.832 13.460
Pm 2.796 -1.832 0.072
Pm 2.784 -1.832 6.694
Pm 2.792 -5.626 1.500
Pm 2.788 -5.626 5.266
Ho 2.790 3.294 3.383
Ho 2.779 -3.294 10.149
Sc 2.779 3.171 10.149
Sc 2.790 0.044 3.383
Sc 2.779 -0.044 10.149
Sc 2.790 -3.171 3.383
```

Results
* calculated density: 6.4 g cm⁻³
* space-group type: C2/c


## two
The following is a DFT calculation (PBE) of crystalline Pm4HoSc2 at its relaxed geometry.

extended XYZ file:
```
14
Lattice="6.200 0.000 0.000 -0.010 6.670 0.000 -3.089 -0.082 10.575" Properties=species:S:1:pos:R:3 pbc="T T T"
Pm -0.515 3.110 3.010
Pm -0.451 1.143 6.009
Pm 0.559 6.443 2.941
Pm -0.541 5.934 9.073
Pm 3.642 0.654 1.503
Pm 2.542 0.145 7.634
Pm 3.552 5.445 4.566
Pm 3.616 3.478 7.565
Ho 2.556 3.959 1.486
Ho 0.545 2.629 9.090
Sc -2.617 1.629 10.563
Sc 0.535 4.431 6.039
Sc 2.566 2.157 4.536
Sc 5.718 4.959 0.012
```

Results
* calculated density: 6.3 g cm⁻³
* space-group type: P-1


Relative energy table, unit kJ/mol of atoms: one 14.9; two 0.0


## one
The following is a DFT calculation (PBE) of crystalline Pm5HoSc4 at its relaxed geometry.

extended XYZ file:
```
10
Lattice="3.565 0.000 0.000 0.000 3.565 0.000 0.000 0.000 23.428" Properties=species:S:1:pos:R:3 pbc="T T T"
Pm 0.000 0.000 0.000
Pm 0.000 0.000 4.577
Pm 0.000 0.000 9.186
Pm 0.000 0.000 14.241
Pm 0.000 0.000 18.851
Ho 1.782 1.782 11.714
Sc 1.782 1.782 2.288
Sc 1.782 1.782 6.876
Sc 1.782 1.782 16.552
Sc 1.782 1.782 21.139
```

Results
* calculated density: 6.0 g cm⁻³
* space-group type: P4/mmm


## two
The following is a DFT calculation (PBE) of crystalline Pm5HoSc4 at its relaxed geometry.

extended XYZ file:
```
10
Lattice="-4.964 4.964 3.101 4.964 -4.964 3.101 4.964 4.964 -3.101" Properties=species:S:1:pos:R:3 pbc="T T T"
Pm 0.000 0.000 0.000
Pm 3.485 2.495 1.428
Pm 2.469 -1.479 4.529
Pm 2.495 6.443 1.428
Pm 1.479 2.469 4.529
Ho 0.000 0.000 2.856
Sc 3.565 -0.568 1.440
Sc 6.363 0.568 1.440
Sc 0.568 3.565 1.440
Sc -0.568 6.363 1.440
```

Results
* calculated density: 5.8 g cm⁻³
* space-group type: I4


Relative energy table, unit kJ/mol of atoms: one 0.0; two 27.6


## one
The following is a DFT calculation (PBE) of crystalline Pm2Ho4Sc3 at its relaxed geometry.

extended XYZ file:
```
9
Lattice="3.498 0.000 0.000 -1.749 3.029 0.000 0.000 0.000 25.408" Properties=species:S:1:pos:R:3 pbc="T T T"
Pm 0.000 0.000 0.000
Pm 0.000 0.000 5.448
Ho 0.000 0.000 8.974
Ho 0.000 0.000 14.242
Ho 0.000 2.020 17.122
Ho 0.000 2.020 22.419
Sc 0.000 0.000 19.776
Sc 0.000 2.020 2.765
Sc 0.000 2.020 11.585
```

Results
* calculated density: 6.7 g cm⁻³
* space-group type: P3m1


## two
The following is a DFT calculation (PBE) of crystalline Pm2Ho4Sc3 at its relaxed geometry.

extended XYZ file:
```
18
Lattice="7.783 -5.666 0.000 7.783 5.666 0.000 -0.570 0.000 6.003" Properties=species:S:1:pos:R:3 pbc="T T T"
Pm 5.567 4.025 4.064
Pm 9.144 4.025 4.940
Pm 5.852 -4.025 1.062
Pm 9.429 -4.025 1.939
Ho 2.887 1.568 5.066
Ho 6.444 1.571 5.942
Ho 3.172 -1.568 2.065
Ho 8.267 1.571 3.062
Ho 6.729 -1.571 2.941
Ho 11.823 1.568 3.938
Ho 8.552 -1.571 0.060
Ho 12.108 -1.568 0.936
Sc 7.640 4.505 1.501
Sc 4.964 1.135 2.480
Sc 4.679 -1.135 5.481
Sc 10.317 1.135 0.522
Sc 10.032 -1.135 3.523
Sc 7.355 -4.505 4.502
```

Results
* calculated density: 6.8 g cm⁻³
* space-group type: C2/c


Relative energy table, unit kJ/mol of atoms: one 0.0; two 4.6


## one
The following is a DFT calculation (PBE) of crystalline Pm3HoSc at its relaxed geometry.

extended XYZ file:
```
10
Lattice="3.521 0.000 0.000 -1.137 8.379 0.000 -0.086 -4.168 10.748" Properties=species:S:1:pos:R:3 pbc="T T T"
Pm 0.059 0.432 1.716
Pm 0.232 3.556 5.859
Pm 0.458 5.728 0.630
Pm 1.839 -1.517 10.118
Pm 2.065 0.655 4.889
Pm 2.239 3.779 9.032
Ho 0.428 0.750 7.944
Ho 1.870 3.461 2.804
Sc -0.363 6.251 3.964
Sc 2.661 -2.040 6.784
```

Results
* calculated density: 6.8 g cm⁻³
* space-group type: P-1


## two
The following is a DFT calculation (PBE) of crystalline Pm3HoSc at its relaxed geometry.

extended XYZ file:
```
20
Lattice="3.521 0.000 0.000 0.000 17.395 0.000 0.000 0.000 10.665" Properties=species:S:1:pos:R:3 pbc="T T T"
Pm 0.877 1.339 0.645
Pm 0.877 1.339 4.688
Pm 0.877 7.359 5.977
Pm 0.877 7.359 10.021
Pm 0.885 13.047 0.000
Pm 0.885 13.047 5.333
Pm 2.635 4.349 0.000
Pm 2.635 4.349 5.333
Pm 2.644 10.037 0.645
Pm 2.644 10.037 4.688
Pm 2.644 16.056 5.977
Pm 2.644 16.056 10.021
Ho 0.885 10.503 7.999
Ho 0.885 15.590 2.666
Ho 2.636 1.806 7.999
Ho 2.636 6.892 2.666
Sc 0.875 3.962 2.666
Sc 0.875 4.735 7.999
Sc 2.646 12.660 2.666
Sc 2.646 13.433 7.999
```

Results
* calculated density: 6.6 g cm⁻³
* space-group type: Pbcm


Relative energy table, unit kJ/mol of atoms: one 0.0; two 7.9